{
  "formula": "KAc4Cr3O12",
  "functional": "GGA+U",
  "state": "optimized geometry",
  "lattice_angstrom": [[7.593, 0.000, 0.000], [-2.531, 7.159, 0.000], [-2.531, -3.579, 6.200]],
  "species": ["O", "O", "O", "O", "O", "O", "O", "O", "O", "O", "O", "O", "Ac", "Ac", "Ac", "Ac", "K", "Cr", "Cr", "Cr"],
  "frac_coords": [[0.150, 0.491, 0.341], [0.850, 0.192, 0.341], [0.808, 0.659, 0.150], [0.491, 0.341, 0.150], [0.659, 0.850, 0.509], [0.509, 0.659, 0.850], [0.150, 0.808, 0.659], [0.850, 0.509, 0.659], [0.192, 0.341, 0.850], [0.341, 0.150, 0.491], [0.659, 0.150, 0.808], [0.341, 0.850, 0.192], [0.000, 0.500, 0.000], [0.000, 0.000, 0.500], [0.500, 0.500, 0.500], [0.500, 0.000, 0.000], [0.000, 0.000, 0.000], [0.500, 0.500, 0.000], [0.000, 0.500, 0.500], [0.500, 0.000, 0.500]],
  "final_energy_ev_per_cell": -145.17,
  "space_group": "Im-3 (204)"
}